[1]
SrY3Re after structural relaxation, computed with PBE-GGA.

Cell: 5.548 5.548 5.548 Å, 90.00 90.00 90.00°
Space group Pm-3m (No. 221)
One atom of each set of equivalent atoms:
Sr 0.000 0.000 0.000
Y 0.000 0.500 0.500
Re 0.500 0.500 0.500

Computed properties:
DFT formation energy, kJ/mol of formula units: 81.6
Crystal system: cubic



[2]
MnHRh3 after structural relaxation, computed with PBE-GGA.

Cell: 5.515 11.030 3.852 Å, 90.00 90.00 90.00°
Space group Cmmm (No. 65)
One atom of each set of equivalent atoms:
Mn 0.000 0.129 0.000
H 0.000 0.379 0.500
Rh 0.000 0.374 0.000
Rh 0.239 0.000 0.500
Rh 0.250 0.250 0.500

Computed properties:
Electronic total energy, eV/atom: -6.99
Crystal system: orthorhombic



[3]
Cr3CdBi after structural relaxation, computed with PBE-GGA.

Cell: 5.081 5.081 5.081 Å, 90.00 90.00 90.00°
Space group Pm-3m (No. 221)
One atom of each set of equivalent atoms:
Cr 0.000 0.000 0.500
Cd 0.000 0.000 0.000
Bi 0.500 0.500 0.500

Computed properties:
DFT formation energy, kJ/mol of formula units: 636.2
Crystal system: cubic



[4]
AcPm6Pr10 after structural relaxation, computed with PBE-GGA.

Cell: 10.0663 10.0663 7.0956 Å, 90.00 90.00 120.00°
Space group P-31m (No. 162)
One atom of each set of equivalent atoms:
Ac 0.0000 0.0000 0.0000
Pm 0.0000 0.3726 0.1905
Pr 0.0000 0.2791 0.6746
Pr 0.3333 0.6667 0.0000
Pr 0.3333 0.6667 0.5000

Computed properties:
DFT formation energy, kJ/mol of formula units: 203.5
Crystal system: trigonal



[5]
Ho8HgC4 after structural relaxation, computed with PBE-GGA.

Cell: 17.467 3.626 12.162 Å, 90.00 133.45 90.00°
Space group C2/m (No. 12)
One atom of each set of equivalent atoms:
Ho 0.044 0.000 0.219
Ho 0.145 0.500 0.102
Ho 0.155 0.500 0.835
Ho 0.192 0.500 0.550
Hg 0.000 0.000 0.500
C 0.152 0.000 0.971
C 0.174 0.500 0.331

Computed properties:
DFT formation energy, kJ/mol of formula units: -367.8
Crystal system: monoclinic



[6]
WC2Se after structural relaxation, computed with PBE-GGA.

Cell: 4.991 4.991 9.575 Å, 90.00 90.00 90.00°
Space group I-42d (No. 122)
One atom of each set of equivalent atoms:
W 0.000 0.000 0.000
C 0.204 0.250 0.125
Se 0.000 0.000 0.500

Computed properties:
Raw formation energy, eV/atom: 1.2782
Crystal system: tetragonal



[7]
CrNi after structural relaxation, computed with PBE-GGA.

Cell: 2.5033 2.5033 8.2856 Å, 90.00 90.00 120.00°
Space group P-3m1 (No. 164)
One atom of each set of equivalent atoms:
Cr 0.3333 0.6667 0.3673
Ni 0.3333 0.6667 0.8747

Computed properties:
DFT formation energy, kJ/mol of formula units: 23.5
Crystal system: trigonal



[8]
BeAgSb after structural relaxation, computed with PBE-GGA.

Cell: 4.145 4.688 7.008 Å, 89.99 74.72 89.97°
Space group P1 (No. 1)
One atom of each set of equivalent atoms:
Be 0.000 0.000 0.000
Be 0.291 0.502 0.037
Ag 0.114 0.998 0.630
Ag 0.180 0.498 0.407
Sb 0.411 0.999 0.198
Sb 0.881 0.499 0.838

Computed properties:
Raw formation energy, eV/atom: 0.1861
Crystal system: triclinic



no.,total moment (μB per cell),DOS at the Fermi energy (states/eV/cell)
1,0.000,5.58
2,11.722,24.74
3,12.782,3.89
4,0.000,27.69
5,0.004,18.58
6,0.000,14.28
7,0.000,5.30
8,0.000,0.13